Density functional theory data (GGA-PBE) for Zn3MoBr after structural relaxation.

abc: 5.1833 5.1833 5.1833
angles: 90.00 90.00 90.00
Space group Pm-3m (No. 221)
Symmetry-distinct sites (fractional):
Zn: 0.0000 0.0000 0.5000 x3
Mo: 0.0000 0.0000 0.0000 x1
Br: 0.5000 0.5000 0.5000 x1

Results
As for the formation energy from raw total energies: 831 meV/atom.

Density functional theory data (GGA-PBE) for BiSeCl6 after structural relaxation.

abc: 6.4415 6.7036 7.0078
angles: 63.97 89.44 64.00
Space group P-1 (No. 2)
Symmetry-distinct sites (fractional):
Bi: 0.0000 0.0000 0.0000 x1
Se: 0.5000 0.0000 0.5000 x1
Cl: 0.1051 0.5234 0.2374 x2
Cl: 0.2705 0.8307 0.7352 x2
Cl: 0.4236 0.8519 0.2637 x2

Results
As for the formation energy from raw total energies: -497 meV/atom.

Number 1: N(E_F) 2.39 states/eV per cell. Number 2: N(E_F) 2.62 states/eV per cell.